[1]
Material: CdRu2Pt
Method: DFT, PBE-GGA
State: relaxed

a b c (Å): 3.9416 3.9416 8.0496
angles (deg): 90.00 90.00 90.00
Space group I4/mmm (No. 139)
Asymmetric unit:
Cd: 0.0000 0.0000 0.0000 x2
Ru: 0.0000 0.5000 0.2500 x4
Pt: 0.0000 0.0000 0.5000 x2

[2]
Material: CdRuPt2
Method: DFT, PBE-GGA
State: relaxed

a b c (Å): 9.3606 2.8006 4.9818
angles (deg): 90.00 99.33 90.00
Space group Cm (No. 8)
Asymmetric unit:
Cd: 0.0000 0.0000 0.0000 x2
Ru: 0.2531 0.5000 0.2943 x2
Pt: 0.2467 0.0000 0.7639 x2
Pt: 0.4950 0.0000 0.4895 x2

Computed energy of formation, in the same sequence as the records: 26.97; -0.89 kJ per mole of atoms.